This record from Alexandria via LeMat-Bulk describes a relaxed ZnFePb2 crystal. The functional is PBEsol.

CIF file:
```
data_ZnFePb2
_cell_length_a 4.0290
_cell_length_b 3.8543
_cell_length_c 10.3385
_cell_angle_alpha 90.00
_cell_angle_beta 90.00
_cell_angle_gamma 90.00
_space_group_name_H-M_alt 'P 1'
_space_group_IT_number 1
loop_
_space_group_symop_operation_xyz
'x,y,z'
loop_
_atom_site_label
_atom_site_type_symbol
_atom_site_fract_x
_atom_site_fract_y
_atom_site_fract_z
Zn1 Zn 0.0000 0.0000 0.0000
Zn2 Zn 0.0000 0.5000 0.5000
Fe1 Fe 0.5000 0.0000 0.1439
Fe2 Fe 0.5000 0.5000 0.6439
Pb1 Pb 0.0000 0.0000 0.7167
Pb2 Pb 0.0000 0.5000 0.2167
Pb3 Pb 0.5000 0.0000 0.4243
Pb4 Pb 0.5000 0.5000 0.9243
```

Values from the calculation:
Energy of formation from the pure elements ... 1.296 eV per formula unit
Electronic total energy ... -4.312 eV per atom
Symmetry ... Amm2, No. 38
Fermi-level density of states ... 0.62 states/eV per atom
Spin magnetization ... 2.3 μB per formula unit